First-principles (GGA-PBE) data for a relaxed CeZrSb crystal, as listed in Alexandria.

Properties
E_form (uncorrected) (eV per atom): -0.27
Total magnetic moment (μB per formula unit): 0.69
Density of states at the Fermi level (states/eV/f.u.): 7.56

Unit cell a=8.182 b=8.182 c=8.182 alpha=35.64 beta=35.64 gamma=35.64
Element x y z (fractional)
Ce 0.214 0.214 0.214
Ce 0.786 0.786 0.786
Zr 0.356 0.356 0.356
Zr 0.644 0.644 0.644
Sb 0.069 0.069 0.069
Sb 0.931 0.931 0.931